# Ce2Pu5Ga4

A relaxed Ce2Pu5Ga4 crystal (PBE, Alexandria via LeMat-Bulk).

Calculated values
Space-group type ... C2/m, No. 12
Crystal system ... monoclinic
Energy of formation ... -0.19 eV per atom

Cell lengths 5.786, 5.932, 7.900 Å; angles 67.95, 90.94, 90.00 degrees
Element x y z (fractional)
1 Ce 0.646 0.816 0.368
2 Ce 0.354 0.184 0.632
3 Pu 0.869 0.832 0.817
4 Pu 0.131 0.168 0.183
5 Pu 0.500 0.000 0.000
6 Pu 0.869 0.351 0.817
7 Pu 0.131 0.649 0.183
8 Ga 0.379 0.580 0.840
9 Ga 0.621 0.420 0.160
10 Ga 0.845 0.265 0.471
11 Ga 0.155 0.735 0.529